A geometry-optimized ZnC2 structure. Source: the Alexandria database, functional PBE.

abc: 2.510 23.374 2.573
angles: 90.00 90.00 90.00
Sites, in units of the cell vectors:
Zn 0.000 0.092 0.000
Zn 0.000 0.908 0.000
Zn 0.500 0.408 0.000
Zn 0.500 0.592 0.000
C 0.000 0.000 0.500
C 0.000 0.247 0.500
C 0.000 0.500 0.000
C 0.000 0.753 0.500
C 0.500 0.000 0.000
C 0.500 0.253 0.500
C 0.500 0.500 0.500
C 0.500 0.747 0.500

Results
Total DFT energy (no corrections) ... -5.1036 eV per atom
Formation energy from the elements ... 1.470 eV/atom
SG ... Cmmm (65)
Magnetization ... 0.00 μB/cell
Relative energy among the computed polymorphs ... 1.340 eV per atom

---

A geometry-optimized ZnC structure. Source: the Alexandria database, functional PBE.

abc: 6.050 3.487 4.921
angles: 90.00 112.91 90.00
Sites, in units of the cell vectors:
Zn 0.240 0.000 0.205
Zn 0.260 0.500 0.795
Zn 0.740 0.500 0.205
Zn 0.760 0.000 0.795
C 0.042 0.000 0.653
C 0.458 0.500 0.347
C 0.542 0.500 0.653
C 0.958 0.000 0.347

Results
Total DFT energy (no corrections) ... -4.4357 eV per atom
Formation energy from the elements ... 0.813 eV/atom
SG ... C2/m (12)
Magnetization ... 0.00 μB/cell
Relative energy among the computed polymorphs ... 0.731 eV per atom

---

A geometry-optimized ZnC2 structure. Source: the Alexandria database, functional PBE.

abc: 4.498 4.498 3.710
angles: 90.00 90.00 120.00
Sites, in units of the cell vectors:
Zn 0.333 0.667 0.250
Zn 0.667 0.333 0.750
C 0.000 0.000 0.000
C 0.000 0.000 0.500
C 0.333 0.667 0.750
C 0.667 0.333 0.250

Results
Total DFT energy (no corrections) ... -3.8547 eV per atom
Formation energy from the elements ... 2.719 eV/atom
SG ... P6_3/mmc (194)
Magnetization ... 0.00 μB/cell
Relative energy among the computed polymorphs ... 2.589 eV per atom

---

Q: Number 3 is which compound?
A: ZnC2

---

Q: The lowest formation energy from the elements belongs to which entry?
A: ZnC